Here is crystalline Cr2NiW at its relaxed geometry from Alexandria via LeMat-Bulk. Energies are from PBE.

Structure (CIF):
```
data_Cr2NiW
_symmetry_space_group_name_H-M 'C m m m'
_symmetry_Int_Tables_number 65
_symmetry_space_group_name_Hall '-C 2 2'
_cell_length_a 3.108
_cell_length_b 4.088
_cell_length_c 8.062
_cell_angle_alpha 90.00
_cell_angle_beta 90.00
_cell_angle_gamma 90.00
loop_
_atom_site_label
_atom_site_type_symbol
_atom_site_fract_x
_atom_site_fract_y
_atom_site_fract_z
_atom_site_occupancy
Cr1 Cr 0.000 0.000 0.233 1
Ni1 Ni 0.000 0.500 0.000 1
W1 W 0.000 0.500 0.500 1
```

For the energy relative to the lowest polymorph listed for this composition, the calculation gives 23.8 meV/atom. The total magnetization comes out at 0.00 μB/cell.